# 1
This record from Alexandria describes a geometry-optimized MnCdHg2C structure. The functional is PBE.

Cell lengths 5.379, 5.379, 3.712 Å; angles 90.00, 90.00, 90.00 degrees
Element x y z (fractional)
Mn 0.000 0.000 0.000
Cd 0.500 0.500 0.500
Hg 0.000 0.500 0.000
Hg 0.500 0.000 0.000
C 0.000 0.000 0.500

Calculated values
Formation enthalpy at 0 K (eV per atom): 0.694
Spin magnetization (μB/atom): 0.4460

# 2
This record from Alexandria describes a geometry-optimized LiAlSnCl6 structure. The functional is PBE.

Cell lengths 6.413, 6.413, 6.098 Å; angles 90.00, 90.00, 120.00 degrees
Element x y z (fractional)
Li 0.000 0.000 0.000
Al 0.333 0.667 0.000
Sn 0.667 0.333 0.500
Cl 0.042 0.357 0.221
Cl 0.042 0.686 0.779
Cl 0.314 0.357 0.779
Cl 0.314 0.958 0.221
Cl 0.643 0.686 0.221
Cl 0.643 0.958 0.779

Calculated values
E_form (uncorrected) (meV/atom): -1374
Spin magnetization (μB/atom): 0.0000

# 3
This record from Alexandria describes a geometry-optimized Sm4Y3Sn4 structure. The functional is PBE.

Cell lengths 10.792, 10.792, 10.792 Å; angles 161.02, 127.01, 56.79 degrees
Element x y z (fractional)
Sm 0.014 0.836 0.178
Sm 0.342 0.164 0.178
Sm 0.658 0.836 0.822
Sm 0.986 0.164 0.822
Y 0.000 0.500 0.500
Y 0.409 0.409 0.000
Y 0.591 0.591 0.000
Sn 0.275 0.775 0.500
Sn 0.279 0.000 0.279
Sn 0.721 0.000 0.721
Sn 0.725 0.225 0.500

Calculated values
Formation enthalpy at 0 K (eV per atom): -0.562
Spin magnetization (μB/atom): 0.0000

# 4
This record from Alexandria describes a geometry-optimized FeRuBr2 structure. The functional is PBE.

Cell lengths 3.445, 3.445, 8.163 Å; angles 90.00, 90.00, 125.11 degrees
Element x y z (fractional)
Fe 0.000 0.000 0.000
Ru 0.000 0.000 0.500
Br 0.500 0.500 0.245
Br 0.500 0.500 0.755

Calculated values
E_form (uncorrected) (meV/atom): 824
Offset from the most stable computed form (eV/atom): 0.6791
Spin magnetization (μB/atom): 1.2263